No. 1
The following is a PBE calculation of a relaxed Li3PmEr2S6 crystal, from the Alexandria database.

- V: 247.9 Å³/cell
- Uncorrected energy: -5.534 eV/atom

```
12
Lattice="6.806 -0.003 0.003 -3.404 5.894 0.003 -1.132 -1.960 6.179" Properties=species:S:1:pos:R:3 pbc="T T T"
Er 0.002 3.927 0.003
S 2.330 -0.002 1.548
Li 4.504 0.019 3.093
S 0.034 0.059 4.624
Li -2.234 3.911 3.093
Pm 0.000 0.000 0.000
S -1.167 2.017 1.548
S 2.236 3.872 1.561
S -0.060 3.933 4.637
Er 3.401 1.964 0.003
S 3.437 1.914 4.637
Li 1.135 1.965 3.093
```

No. 2
The following is a PBE calculation of a relaxed YZn5 crystal, from the Alexandria database.

- V: 102.9 Å³/cell
- Energy relative to the elements: -0.28 eV per atom

```
6
Lattice="-4.701 -1.853 -1.661 4.485 -1.661 -2.326 0.266 -3.152 2.763" Properties=species:S:1:pos:R:3 pbc="T T T"
Zn 1.423 -1.725 -2.105
Zn -1.639 -1.789 -1.883
Zn 2.376 -2.406 0.218
Zn 0.025 -3.333 -0.612
Y 0.000 0.000 0.000
Zn -2.217 -2.502 0.551
```

No. 3
The following is a PBE calculation of a relaxed BaSi2Se crystal, from the Alexandria database.

- Polymorph energy (0 for the lowest one): 0 meV per atom
- V: 126.0 Å³/cell

```
4
Lattice="-2.540 -2.122 2.266 3.470 -0.310 3.599 -0.429 5.152 4.344" Properties=species:S:1:pos:R:3 pbc="T T T"
Si -1.192 0.286 2.482
Si 0.501 0.307 0.849
Ba 1.245 2.584 3.816
Se 1.467 1.963 7.034
```

No. 4
The following is a PBE calculation of a relaxed LiCu2Pt crystal, from the Alexandria database.

- Polymorph energy (0 for the lowest one): 57 meV per atom
- V: 52.4 Å³/cell
- Energy relative to the elements: -0.22 eV per atom

```
4
Lattice="2.699 0.000 0.000 0.000 3.707 0.000 0.000 0.000 5.234" Properties=species:S:1:pos:R:3 pbc="T T T"
Li 0.000 0.000 2.630
Cu 1.349 1.854 1.281
Cu 0.000 0.000 0.041
Pt 1.349 1.854 3.899
```

No. 5
The following is a PBE calculation of a relaxed Nd6Si2PdBr3 crystal, from the Alexandria database.

- V: 346.4 Å³/cell
- Uncorrected energy: -5.163 eV/atom

```
12
Lattice="-1.094 -3.493 2.074 8.373 -0.861 2.968 -3.795 7.041 5.587" Properties=species:S:1:pos:R:3 pbc="T T T"
Nd 1.661 2.782 9.828
Nd 1.822 -0.095 0.801
Br 5.505 1.072 4.709
Nd 4.523 2.818 7.132
Nd -1.040 -0.131 3.497
Br -2.022 1.615 5.920
Si 2.118 1.212 7.424
Si 1.365 1.476 3.205
Pd -0.547 -1.746 1.037
Nd 0.819 3.068 5.598
Br 3.639 -2.177 2.521
Nd 2.664 -0.380 5.031
```

No. 6
The following is a PBE calculation of a relaxed Cd2FeAgW crystal, from the Alexandria database.

- V: 111.2 Å³/cell
- Energy relative to the elements: 1.62 eV per atom

```
5
Lattice="-2.750 3.523 -1.915 -3.826 -2.671 0.580 -0.653 1.897 4.429" Properties=species:S:1:pos:R:3 pbc="T T T"
W -3.615 1.374 1.547
Cd -1.375 1.762 -0.957
Fe 0.000 0.000 0.000
Cd -0.327 0.948 2.215
Ag -1.913 -1.336 0.290
```

No. 7
The following is a PBE calculation of a relaxed Pm3Si4Os2 crystal, from the Alexandria database.

- V: 180.5 Å³/cell
- Uncorrected energy: -7.192 eV/atom

```
9
Lattice="-2.094 3.502 -1.105 -0.910 -1.301 5.691 7.056 4.076 -0.454" Properties=species:S:1:pos:R:3 pbc="T T T"
Os 3.316 2.901 2.910
Os 0.736 3.377 1.222
Pm 0.603 1.579 3.861
Si 2.456 1.759 0.920
Pm 3.449 4.699 0.271
Si 1.596 4.519 3.212
Si -1.344 2.279 1.683
Pm 0.000 0.000 0.000
Si 5.396 3.999 2.449
```

No. 8
The following is a PBE calculation of a relaxed PmIn3Pt crystal, from the Alexandria database.

- V: 479.4 Å³/cell
- Energy relative to the elements: -0.58 eV per atom

```
20
Lattice="4.478 0.000 0.000 0.000 9.050 0.000 0.000 0.000 11.831" Properties=species:S:1:pos:R:3 pbc="T T T"
In 1.119 3.614 8.102
Pt 3.358 8.110 4.211
Pt 1.119 5.465 10.127
In 3.358 3.943 10.793
In 1.119 7.740 2.490
In 1.119 5.107 1.038
In 3.358 0.912 2.186
In 1.119 8.139 9.645
In 3.358 1.311 9.341
Pt 1.119 0.940 7.620
In 1.119 0.582 4.878
Pm 1.119 1.784 11.738
Pm 1.119 6.309 6.009
Pm 3.358 7.266 0.093
In 3.358 5.437 3.729
Pm 3.358 2.741 5.822
Pt 3.358 3.585 1.704
In 3.358 8.468 6.953
In 3.358 5.836 8.406
In 1.119 3.214 3.425
```

No. 9
The following is a PBE calculation of a relaxed CaNd2Th crystal, from the Alexandria database.

- Polymorph energy (0 for the lowest one): 11 meV per atom
- V: 287.1 Å³/cell
- Energy relative to the elements: 0.05 eV per atom

```
8
Lattice="3.668 0.000 0.000 -1.834 3.176 0.000 0.000 0.000 24.647" Properties=species:S:1:pos:R:3 pbc="T T T"
Nd 0.000 2.117 2.857
Ca 1.834 1.059 6.162
Nd 0.000 2.117 9.466
Ca 0.000 2.117 18.485
Nd 1.834 1.059 21.790
Th 0.000 0.000 0.000
Nd 1.834 1.059 15.181
Th 0.000 0.000 12.324
```

No. 10
The following is a PBE calculation of a relaxed ScRu2 crystal, from the Alexandria database.

- V: 56.3 Å³/cell
- Energy relative to the elements: 0.21 eV per atom

```
3
Lattice="3.556 0.000 0.000 0.000 3.556 0.000 0.000 0.000 4.448" Properties=species:S:1:pos:R:3 pbc="T T T"
Ru 1.778 0.000 2.224
Sc 0.000 0.000 0.000
Ru 0.000 1.778 2.224
```

No. 11
The following is a PBE calculation of a relaxed HfAsW crystal, from the Alexandria database.

- V: 223.7 Å³/cell
- Energy relative to the elements: -0.37 eV per atom

```
12
Lattice="-4.456 2.783 4.835 1.904 -1.290 2.497 7.443 6.231 -2.455" Properties=species:S:1:pos:R:3 pbc="T T T"
W 0.540 6.547 2.971
Hf 4.329 3.920 1.033
As 4.870 6.184 -0.517
Hf 3.332 7.564 1.369
Hf -0.344 1.450 1.011
Hf 0.562 3.804 3.845
As 2.100 2.424 1.959
As 2.791 5.300 2.918
W -2.230 2.786 5.447
W 7.121 4.938 -0.569
W 2.447 2.467 -0.591
As -1.882 2.830 2.897
```

No. 12
The following is a PBE calculation of a relaxed LiLaTe2 crystal, from the Alexandria database.

- V: 114.8 Å³/cell
- Uncorrected energy: -4.437 eV/atom

```
4
Lattice="-2.271 -2.821 -3.991 -0.130 -4.364 3.158 -3.589 1.033 1.298" Properties=species:S:1:pos:R:3 pbc="T T T"
Te -1.200 -3.592 -0.416
Li -1.860 -1.665 2.228
La -2.930 -0.894 -1.346
Te 0.000 0.000 0.000
```

No. 13
The following is a PBE calculation of a relaxed Ac2Al2Cu15 crystal, from the Alexandria database.

- V: 289.7 Å³/cell
- Energy relative to the elements: -0.11 eV per atom

```
19
Lattice="-6.250 -0.283 2.306 -1.918 -5.418 -3.380 1.072 -4.457 4.842" Properties=species:S:1:pos:R:3 pbc="T T T"
Cu -1.027 -3.261 4.115
Cu -5.008 -1.755 0.676
Cu -3.160 -3.946 -1.750
Cu -3.401 -6.247 -0.463
Ac -4.590 -6.571 2.438
Cu -1.461 -6.560 1.298
Al -0.719 -1.029 0.382
Cu -4.151 -1.480 3.033
Cu -3.695 -3.912 4.231
Cu -0.959 -2.709 -1.690
Cu -3.125 -0.142 1.153
Cu 0.536 -2.229 2.421
Cu -5.635 -3.598 2.470
Al -6.377 -9.130 3.387
Ac -2.506 -3.587 1.331
Cu 0.215 -4.733 2.485
Cu -1.061 -5.143 -1.023
Cu -1.859 -5.751 3.778
Cu -5.238 -4.407 -0.010
```

No. 14
The following is a PBE calculation of a relaxed Ti3H2Se4 crystal, from the Alexandria database.

- V: 168.1 Å³/cell
- Uncorrected energy: -5.526 eV/atom

```
9
Lattice="-1.685 -2.389 -1.670 0.463 -0.278 3.323 -14.662 8.420 2.748" Properties=species:S:1:pos:R:3 pbc="T T T"
Ti -13.883 7.973 2.602
Se -4.038 0.077 0.569
Ti -11.197 4.189 1.911
H -1.083 -1.620 0.015
Se -11.674 6.704 2.188
H -14.261 5.948 2.485
Se -8.869 5.093 1.662
Se -6.865 1.701 1.099
Ti -4.482 2.574 0.840
```

No. 15
The following is a PBE calculation of a relaxed La2Al2Os crystal, from the Alexandria database.

- Polymorph energy (0 for the lowest one): 582 meV per atom
- V: 280.9 Å³/cell
- Energy relative to the elements: 0.44 eV per atom

```
10
Lattice="-2.781 -0.912 6.838 6.664 -2.259 2.409 1.216 4.798 1.135" Properties=species:S:1:pos:R:3 pbc="T T T"
Os 1.942 -1.586 4.623
La 4.618 -2.179 4.265
La 2.148 -2.270 7.294
Al 4.472 0.835 3.037
Al 0.510 1.758 3.380
Al 0.628 0.791 7.345
Os 0.000 0.000 0.000
La -0.734 -0.992 4.982
Al 4.590 -0.132 7.001
La 1.736 -0.902 1.953
```

No. 16
The following is a PBE calculation of a relaxed AgHN2F crystal, from the Alexandria database.

- Polymorph energy (0 for the lowest one): 0 meV per atom
- V: 50.6 Å³/cell

```
5
Lattice="3.129 0.000 0.000 0.000 3.129 0.000 0.000 0.000 5.172" Properties=species:S:1:pos:R:3 pbc="T T T"
N 0.000 1.565 0.000
N 1.565 0.000 0.000
H 0.000 0.000 0.000
Ag 1.565 1.565 2.586
F 0.000 0.000 2.586
```

No. 17
The following is a PBE calculation of a relaxed VGa2AuS crystal, from the Alexandria database.

- V: 120.8 Å³/cell
- Uncorrected energy: -4.006 eV/atom

```
5
Lattice="-4.138 -1.915 -1.353 2.420 -4.702 -0.747 -0.924 -1.192 4.511" Properties=species:S:1:pos:R:3 pbc="T T T"
Ga -2.069 -0.957 -0.677
Au 0.000 0.000 0.000
V 1.210 -2.351 -0.373
Ga -0.462 -0.596 2.256
S -1.321 -3.904 1.206
```

No. 18
The following is a PBE calculation of a relaxed Lu2FeNi crystal, from the Alexandria database.

- Polymorph energy (0 for the lowest one): 0 meV per atom
- V: 69.8 Å³/cell
- Energy relative to the elements: -0.23 eV per atom

```
4
Lattice="-1.141 3.002 0.700 -1.419 0.152 -2.961 -5.383 -2.616 2.445" Properties=species:S:1:pos:R:3 pbc="T T T"
Fe -1.280 1.577 -1.130
Lu -4.069 -1.978 1.848
Lu -1.314 -0.639 0.597
Ni -3.971 0.269 0.092
```

No. 19
The following is a PBE calculation of a relaxed Mg5Zn4 crystal, from the Alexandria database.

- Polymorph energy (0 for the lowest one): 16 meV per atom
- V: 167.8 Å³/cell
- Energy relative to the elements: -0.03 eV per atom

```
9
Lattice="-7.906 2.965 2.827 1.038 -4.493 7.617 -2.492 0.922 6.088" Properties=species:S:1:pos:R:3 pbc="T T T"
Mg -1.899 -2.044 6.044
Mg -2.255 -0.502 3.430
Zn 0.682 -2.950 5.000
Mg -4.612 -1.026 7.014
Zn -2.715 1.018 0.971
Mg -4.968 0.516 4.400
Mg 0.000 0.000 0.000
Zn -5.190 1.947 1.856
Zn 0.357 -1.543 2.616
```

No. 20
The following is a PBE calculation of a relaxed KPuTeI crystal, from the Alexandria database.

- V: 153.1 Å³/cell
- Uncorrected energy: -6.101 eV/atom

```
4
Lattice="4.565 -0.001 -0.001 -2.282 3.954 0.000 -2.281 -1.318 8.482" Properties=species:S:1:pos:R:3 pbc="T T T"
Pu -1.851 3.665 0.815
Te -1.850 1.028 7.633
I 2.714 1.029 2.856
K 0.432 -0.290 5.402
```